Pr3AgPt: relaxed, PBE-GGA.

Output
crystal system: monoclinic

Structure (CIF):
```
data_Pr3AgPt
_chemical_formula_sum 'Pr6 Ag2 Pt2'
_symmetry_space_group_name_H-M 'P 1 21/m 1'
_symmetry_Int_Tables_number 11
_cell_length_a 8.691
_cell_length_b 4.009
_cell_length_c 8.895
_cell_angle_alpha 90.00
_cell_angle_beta 111.75
_cell_angle_gamma 90.00
loop_
_symmetry_equiv_pos_as_xyz
'x,y,z'
'-x,-y,-z'
'-x,y+1/2,-z'
'x,-y+1/2,z'
loop_
_atom_site_label
_atom_site_fract_x
_atom_site_fract_y
_atom_site_fract_z
Pr1 0.024 0.250 0.173
Pr2 0.212 0.750 0.575
Pr3 0.396 0.750 0.118
Ag1 0.398 0.250 0.408
Pt1 0.243 0.250 0.846
```



PrAgPt: relaxed, PBE-GGA.

Output
crystal system: trigonal

Structure (CIF):
```
data_PrAgPt
_chemical_formula_sum 'Pr1 Ag1 Pt1'
_symmetry_space_group_name_H-M 'P 3 m 1'
_symmetry_Int_Tables_number 156
_cell_length_a 4.6680
_cell_length_b 4.6680
_cell_length_c 3.6920
_cell_angle_alpha 90.00
_cell_angle_beta 90.00
_cell_angle_gamma 120.00
loop_
_symmetry_equiv_pos_as_xyz
'x,y,z'
'-y,x-y,z'
'-x+y,-x,z'
'-y,-x,z'
'-x+y,y,z'
'x,x-y,z'
loop_
_atom_site_label
_atom_site_fract_x
_atom_site_fract_y
_atom_site_fract_z
Pr1 0.0000 0.0000 0.0000
Ag1 0.6667 0.3333 0.4990
Pt1 0.3333 0.6667 0.5017
```



Number 1: offset from the most stable computed form 0 meV/atom, Fermi-level density of states 10.014 states/eV/cell. Number 2: offset from the most stable computed form 124 meV/atom, Fermi-level density of states 0.829 states/eV/cell.